Here is a relaxed Sm8Te4IrSe3 crystal from Alexandria via LeMat-Bulk. Energies are from GGA-PBE.

ΔE_f (raw) = -24.0 eV per formula unit

abc: 8.6128 8.7167 8.6126
angles: 119.61 120.00 90.00
Positions (direct):
Sm: 0.2302 0.7172 0.9870
Sm: 0.2304 0.7174 0.4609
Sm: 0.2580 0.2742 0.5161
Sm: 0.7568 0.7172 0.9870
Sm: 0.2432 0.2828 0.0130
Sm: 0.7420 0.7258 0.4839
Sm: 0.7696 0.2826 0.5391
Sm: 0.7698 0.2828 0.0130
Te: 0.5000 0.0000 0.0000
Te: 0.5000 0.0000 0.5000
Te: 0.0000 0.0000 0.0000
Te: 0.0000 0.0000 0.5000
Ir: 0.0000 0.5000 0.0000
Se: 0.5000 0.5000 0.0000
Se: 0.5000 0.5000 0.5000
Se: 0.0000 0.5000 0.5000


Here is a relaxed Nd2ThSi4 crystal from Alexandria via LeMat-Bulk. Energies are from GGA-PBE.

ΔE_f (raw) = -5.1 eV per formula unit

abc: 4.0010 4.3897 9.4216
angles: 103.47 102.26 90.00
Positions (direct):
Nd: 0.8184 0.8184 0.6368
Nd: 0.1816 0.1816 0.3632
Th: 0.5000 0.0000 0.0000
Si: 0.6451 0.6451 0.2902
Si: 0.3549 0.3549 0.7098
Si: 0.0654 0.5654 0.1308
Si: 0.9346 0.4346 0.8692


Here is a relaxed GdMgCu crystal from Alexandria via LeMat-Bulk. Energies are from GGA-PBE.

calculated formation energy = -40 meV per atom

abc: 4.6846 4.6846 4.6846
angles: 60.00 60.00 60.00
Last column: magnetic moment on the atom in μB.
Positions (direct):
Mg: 0.5000 0.5000 0.5000  0.01
Gd: 0.0000 0.0000 0.0000  7.18
Cu: 0.2500 0.2500 0.2500  0.02


Here is a relaxed Ca2AsPd2 crystal from Alexandria via LeMat-Bulk. Energies are from GGA-PBE.

calculated formation energy = -840 meV per atom

abc: 5.6603 5.6603 7.8329
angles: 77.49 77.49 60.45
Positions (direct):
Ca: 0.4792 0.2184 0.1524
Ca: 0.7816 0.5208 0.3476
Ca: 0.5208 0.7816 0.8476
Ca: 0.2184 0.4792 0.6524
As: 0.1839 0.8161 0.2500
As: 0.8161 0.1839 0.7500
Pd: 0.7563 0.9906 0.4872
Pd: 0.0094 0.2437 0.0128
Pd: 0.2437 0.0094 0.5128
Pd: 0.9906 0.7563 0.9872


Here is a relaxed Cs2BaZnCd crystal from Alexandria via LeMat-Bulk. Energies are from GGA-PBE.

calculated formation energy = 200 meV per atom

abc: 7.0001 6.5948 7.0001
angles: 90.00 90.00 90.00
Positions (direct):
Cs: 0.0000 0.0000 0.5000
Cs: 0.5000 0.0000 0.0000
Zn: 0.0000 0.0000 0.0000
Ba: 0.0000 0.5000 0.0000
Cd: 0.5000 0.5000 0.5000


Here is a relaxed NaLiHf2Se crystal from Alexandria via LeMat-Bulk. Energies are from GGA-PBE.

ΔE_f (raw) = 1.6 eV per formula unit

abc: 5.0214 5.3139 5.0214
angles: 90.00 90.00 90.00
Positions (direct):
Na: 0.0000 0.5000 0.0000
Hf: 0.0000 0.0000 0.5000
Hf: 0.5000 0.0000 0.0000
Se: 0.0000 0.0000 0.0000
Li: 0.5000 0.5000 0.5000


Here is a relaxed Be2GaRh2 crystal from Alexandria via LeMat-Bulk. Energies are from GGA-PBE.

calculated formation energy = -428 meV per atom

abc: 3.0192 3.0192 6.9427
angles: 77.44 77.44 90.00
Positions (direct):
Be: 0.7500 0.2500 0.5000
Be: 0.2500 0.7500 0.5000
Rh: 0.3856 0.3856 0.2289
Rh: 0.6144 0.6144 0.7711
Ga: 0.0000 0.0000 0.0000


Here is a relaxed ZrScCu2 crystal from Alexandria via LeMat-Bulk. Energies are from GGA-PBE.

calculated formation energy = -128 meV per atom

abc: 3.2964 3.2964 6.4546
angles: 90.00 90.00 89.98
Positions (direct):
Sc: 0.0000 0.0000 0.4623
Cu: 0.0000 0.0000 0.0309
Cu: 0.5000 0.5000 0.2222
Zr: 0.5000 0.5000 0.7847